Entry 1:
Here is a crystal of TlFe2Os relaxed with PBEsol from the Alexandria database. Energies are from meta-GGA SCAN.

abc: 4.596 4.596 4.756
angles: 102.31 102.31 35.93
Atoms (fractional coordinates):
Tl (0.000, 0.000, 0.000)
Fe (0.238, 0.238, 0.730)
Fe (0.510, 0.510, 0.511)
Os (0.768, 0.768, 0.319)

Calculated values
For the raw total energy, the calculation gives -44.582 eV/atom. As for the space group: Cm (8).


Entry 2:
Here is a crystal of HgIr2Au relaxed with PBEsol from the Alexandria database. Energies are from meta-GGA SCAN.

abc: 4.845 4.845 4.845
angles: 130.61 130.61 72.43
Atoms (fractional coordinates):
Hg (0.000, 0.000, 0.000)
Ir (0.250, 0.750, 0.500)
Ir (0.750, 0.250, 0.500)
Au (0.500, 0.500, 0.000)

Calculated values
For the raw total energy, the calculation gives -69.186 eV/atom. As for the space group: I4/mmm (139).


Entry 3:
Here is a crystal of Sb2TeHIr relaxed with PBEsol from the Alexandria database. Energies are from meta-GGA SCAN.

abc: 5.012 5.012 5.520
angles: 90.00 90.00 90.00
Atoms (fractional coordinates):
Sb (0.000, 0.500, 0.000)
Sb (0.500, 0.000, 0.000)
Te (0.000, 0.000, 0.500)
H (0.500, 0.500, 0.500)
Ir (0.000, 0.000, 0.000)

Calculated values
For the raw total energy, the calculation gives -36.355 eV/atom. As for the space group: P4/mmm (123).


Entry 4:
Here is a crystal of AlF3 relaxed with PBEsol from the Alexandria database. Energies are from meta-GGA SCAN.

abc: 5.051 5.051 5.051
angles: 58.53 58.53 58.53
Atoms (fractional coordinates):
Al (0.000, 0.000, 0.000)
Al (0.500, 0.500, 0.500)
F (0.173, 0.750, 0.327)
F (0.250, 0.673, 0.827)
F (0.327, 0.173, 0.750)
F (0.673, 0.827, 0.250)
F (0.750, 0.327, 0.173)
F (0.827, 0.250, 0.673)

Calculated values
Its formation energy without anion corrections is -15.36 eV/f.u. For the raw total energy, the calculation gives -8.433 eV/atom. As for the space group: R-3c (167).